Entry from Alexandria: crystalline TlOs2Rh at its relaxed geometry (GGA-PBE).

## Properties
Symmetry = I-42d (122)
Raw total energy = -6.2459 eV per atom
ΔH_f (0 K) = 1.80 eV/atom
Calculated volume = 191 Å³ per cell
Energy above the lowest structure with this stoichiometry = 1.399 eV/atom

a = 6.543 Å, b = 6.543 Å, c = 6.543 Å
α = 122.23°, β = 122.23°, γ = 86.18°
Element x y z (fractional)
Tl1 0.000 0.000 0.000
Tl2 0.750 0.250 0.500
Os1 0.171 0.625 0.046
Os2 0.375 0.421 0.546
Os3 0.579 0.125 0.954
Os4 0.875 0.829 0.454
Rh1 0.250 0.750 0.500
Rh2 0.500 0.500 0.000